Material: ScBe3Ni
Method: DFT, PBE
State: optimized geometry

Its calculated formation energy is -0.036 eV/atom. The distance to the lowest polymorph of the same formula comes out at 0 meV per atom. The size of the total moment comes out at 0.00 μB/f.u.

It has space group Pm-3m (No. 221), with a = 3.9852 Å, b = 3.9852 Å, c = 3.9852 Å, α = 90.00°, β = 90.00° and γ = 90.00°. The asymmetric unit holds Sc at (0.0000, 0.0000, 0.0000), Be at (0.0000, 0.5000, 0.5000) and Ni at (0.5000, 0.5000, 0.5000).

---

Material: Sc3Be2Ni5
Method: DFT, PBE
State: optimized geometry

Its calculated formation energy is -0.496 eV/atom. The size of the total moment comes out at 0.00 μB/f.u.

It has space group P4/mbm (No. 127), with a = 8.8296 Å, b = 8.8296 Å, c = 3.3734 Å, α = 90.00°, β = 90.00° and γ = 90.00°. The asymmetric unit holds Sc at (0.0000, 0.0000, 0.0000), Sc at (0.1783, 0.3217, 0.0000), Be at (0.1140, 0.6140, 0.0000), Ni at (0.0000, 0.5000, 0.5000) and Ni at (0.0695, 0.7757, 0.5000).

---

Material: ScBeNi2
Method: DFT, PBE
State: optimized geometry

Its calculated formation energy is -0.234 eV/atom. The size of the total moment comes out at 0.00 μB/f.u.

It has space group Pmm2 (No. 25), with a = 2.8799 Å, b = 3.2097 Å, c = 5.5256 Å, α = 90.00°, β = 90.00° and γ = 90.00°. The asymmetric unit holds Sc at (0.0000, 0.0000, 0.0000), Be at (0.5000, 0.5000, 0.3328), Ni at (0.0000, 0.0000, 0.4687) and Ni at (0.5000, 0.5000, 0.7339).